# 1
GdTh3, relaxed, DFT PBE; total energy = -9.04 eV/atom; DFT formation energy = 0.044 eV per atom; size of the total moment = 7.149 μB/f.u.
1.0
-2.519 2.519 5.059
2.519 -2.519 5.059
2.519 2.519 -5.059
Gd Th
1 3
Cartesian
0.000 0.000 0.000
2.519 0.000 2.529
0.000 0.000 5.059
0.000 2.519 2.529

# 2
GdThTi4, relaxed, DFT PBE; total energy = -8.61 eV/atom; DFT formation energy = 0.236 eV per atom; size of the total moment = 3.401 μB/f.u.
1.0
0.000 4.043 4.043
4.043 0.000 4.043
4.043 4.043 0.000
Gd Th Ti
1 1 4
Cartesian
0.000 0.000 0.000
2.021 2.021 2.021
5.055 3.031 3.031
3.031 5.055 3.031
3.031 3.031 5.055
5.055 5.055 5.055

# 3
GdTh2Ti, relaxed, DFT PBE; total energy = -9.07 eV/atom; DFT formation energy = 0.129 eV per atom; size of the total moment = 6.545 μB/f.u.
1.0
3.601 0.000 0.000
0.000 3.601 0.000
0.000 0.000 8.720
Gd Th Ti
1 2 1
Cartesian
0.000 0.000 0.000
1.800 1.800 2.451
1.800 1.800 6.269
0.000 0.000 4.360

# 4
GdTh2Tl, relaxed, DFT PBE; total energy = -7.65 eV/atom; DFT formation energy = 0.175 eV per atom; size of the total moment = 7.794 μB/f.u.
1.0
1.715 0.990 12.336
-1.715 0.990 12.336
0.000 -1.980 12.336
Gd Th Tl
1 2 1
Cartesian
0.000 0.000 0.000
0.000 0.000 3.320
0.000 0.000 33.687
0.000 0.000 18.504

# 5
GdTh2Tl, relaxed, DFT PBE; total energy = -7.92 eV/atom; DFT formation energy = -0.096 eV per atom; size of the total moment = 7.260 μB/f.u.
1.0
4.851 0.000 0.000
0.000 4.851 0.000
0.000 0.000 5.098
Gd Th Tl
1 2 1
Cartesian
0.000 0.000 0.000
0.000 2.425 2.549
2.425 0.000 2.549
2.425 2.425 0.000

# 6
GdTh2Tl, relaxed, DFT PBE; total energy = -7.80 eV/atom; DFT formation energy = 0.022 eV per atom; size of the total moment = 7.653 μB/f.u.
1.0
4.222 0.000 0.000
0.000 4.222 0.000
0.000 0.000 6.959
Gd Th Tl
1 2 1
Cartesian
0.000 0.000 0.000
2.111 2.111 1.866
2.111 2.111 5.093
0.000 0.000 3.480

# 7
GdTh2Tl, relaxed, DFT PBE; total energy = -7.74 eV/atom; DFT formation energy = 0.080 eV per atom; size of the total moment = 7.660 μB/f.u.
1.0
0.000 3.934 3.934
3.934 0.000 3.934
3.934 3.934 0.000
Gd Th Tl
1 2 1
Cartesian
0.000 0.000 0.000
1.967 1.967 1.967
5.901 5.901 5.901
3.934 3.934 3.934

# 8
GdThTl, relaxed, DFT PBE; total energy = -8.06 eV/atom; DFT formation energy = -0.104 eV per atom; size of the total moment = 7.394 μB/f.u.
1.0
-1.791 1.791 7.162
1.791 -1.791 7.162
1.791 1.791 -7.162
Gd Th Tl
1 1 1
Cartesian
0.000 0.000 0.000
0.000 0.000 9.796
0.000 0.000 4.976

# 9
GdThTl, relaxed, DFT PBE; total energy = -7.94 eV/atom; DFT formation energy = 0.014 eV per atom; size of the total moment = 8.102 μB/f.u.
1.0
5.475 0.000 0.000
-2.737 4.741 0.000
0.000 0.000 3.520
Gd Th Tl
1 1 1
Cartesian
0.000 0.000 0.000
2.737 1.580 1.909
0.000 3.161 0.808

# 10
GdTmThTl, relaxed, DFT PBE; total energy = -7.02 eV/atom; DFT formation energy = 0.068 eV per atom; size of the total moment = 8.349 μB/f.u.
1.0
0.000 3.877 3.877
3.877 0.000 3.877
3.877 3.877 0.000
Gd Tm Th Tl
1 1 1 1
Cartesian
0.000 0.000 0.000
3.877 3.877 3.877
1.939 1.939 1.939
5.816 5.816 5.816

# 11
GdYThTl, relaxed, DFT PBE; total energy = -7.58 eV/atom; DFT formation energy = 0.001 eV per atom; size of the total moment = 7.858 μB/f.u.
1.0
0.000 3.896 3.896
3.896 0.000 3.896
3.896 3.896 0.000
Gd Y Th Tl
1 1 1 1
Cartesian
0.000 0.000 0.000
1.948 1.948 1.948
5.844 5.844 5.844
3.896 3.896 3.896

# 12
Gd2TmTh, relaxed, DFT PBE; total energy = -9.97 eV/atom; DFT formation energy = 0.043 eV per atom; size of the total moment = 14.192 μB/f.u.
1.0
3.561 0.000 0.000
0.000 3.561 0.000
0.000 0.000 10.059
Gd Tm Th
2 1 1
Cartesian
0.000 0.000 2.473
0.000 0.000 7.586
1.781 1.781 5.029
1.781 1.781 0.000

# 13
GdTm2Th, relaxed, DFT PBE; total energy = -7.50 eV/atom; DFT formation energy = 0.110 eV per atom; size of the total moment = 7.360 μB/f.u.
1.0
0.000 3.980 3.980
3.980 0.000 3.980
3.980 3.980 0.000
Gd Tm Th
1 2 1
Cartesian
0.000 0.000 0.000
1.990 1.990 1.990
5.971 5.971 5.971
3.980 3.980 3.980

# 14
Gd2TmTh, relaxed, DFT PBE; total energy = -9.86 eV/atom; DFT formation energy = 0.150 eV per atom; size of the total moment = 17.118 μB/f.u.
1.0
0.000 4.012 4.012
4.012 0.000 4.012
4.012 4.012 0.000
Gd Tm Th
2 1 1
Cartesian
2.006 2.006 2.006
6.018 6.018 6.018
0.000 0.000 0.000
4.012 4.012 4.012

# 15
GdTmTh2, relaxed, DFT PBE; total energy = -8.22 eV/atom; DFT formation energy = 0.133 eV per atom; size of the total moment = 7.106 μB/f.u.
1.0
4.153 0.000 0.000
0.000 4.153 0.000
0.000 0.000 7.351
Gd Tm Th
1 1 2
Cartesian
0.000 0.000 0.000
0.000 0.000 3.676
2.077 2.077 1.867
2.077 2.077 5.485

# 16
Gd2TmTh, relaxed, DFT PBE; total energy = -9.98 eV/atom; DFT formation energy = 0.037 eV per atom; size of the total moment = 14.591 μB/f.u.
1.0
5.004 0.000 0.000
0.000 5.004 0.000
0.000 0.000 5.062
Gd Tm Th
2 1 1
Cartesian
0.000 2.502 0.000
2.502 0.000 0.000
0.000 0.000 2.531
2.502 2.502 2.531

# 17
GdTmTh2, relaxed, DFT PBE; total energy = -8.30 eV/atom; DFT formation energy = 0.046 eV per atom; size of the total moment = 7.158 μB/f.u.
1.0
5.010 0.000 0.000
0.000 5.010 0.000
0.000 0.000 5.053
Gd Tm Th
1 1 2
Cartesian
0.000 0.000 0.000
2.505 2.505 0.000
0.000 2.505 2.527
2.505 0.000 2.527

# 18
GdTm2Th, relaxed, DFT PBE; total energy = -7.58 eV/atom; DFT formation energy = 0.030 eV per atom; size of the total moment = 7.505 μB/f.u.
1.0
5.034 0.000 0.000
0.000 5.034 0.000
0.000 0.000 4.917
Gd Tm Th
1 2 1
Cartesian
0.000 0.000 0.000
0.000 2.517 2.459
2.517 0.000 2.459
2.517 2.517 0.000

# 19
GdTm2Th, relaxed, DFT PBE; total energy = -7.59 eV/atom; DFT formation energy = 0.021 eV per atom; size of the total moment = 7.507 μB/f.u.
1.0
1.776 1.025 11.424
-1.776 1.025 11.424
0.000 -2.050 11.424
Gd Tm Th
1 2 1
Cartesian
0.000 0.000 0.000
0.000 0.000 8.509
0.000 0.000 25.764
0.000 0.000 17.136

# 20
GdTmTh2, relaxed, DFT PBE; total energy = -8.11 eV/atom; DFT formation energy = 0.240 eV per atom; size of the total moment = 7.600 μB/f.u.
1.0
1.726 0.997 12.550
-1.726 0.997 12.550
0.000 -1.993 12.550
Gd Tm Th
1 1 2
Cartesian
0.000 0.000 0.000
0.000 0.000 18.825
0.000 0.000 15.575
0.000 0.000 22.074

# 21
GdTm2Th, relaxed, DFT PBE; total energy = -7.51 eV/atom; DFT formation energy = 0.098 eV per atom; size of the total moment = 7.566 μB/f.u.
1.0
4.085 0.000 0.000
0.000 4.085 0.000
0.000 0.000 7.540
Gd Tm Th
1 2 1
Cartesian
0.000 0.000 0.000
2.043 2.043 1.912
2.043 2.043 5.629
0.000 0.000 3.770

# 22
GdTmTh2, relaxed, DFT PBE; total energy = -8.21 eV/atom; DFT formation energy = 0.139 eV per atom; size of the total moment = 7.041 μB/f.u.
1.0
0.000 3.987 3.987
3.987 0.000 3.987
3.987 3.987 0.000
Gd Tm Th
1 1 2
Cartesian
0.000 0.000 0.000
3.987 3.987 3.987
1.993 1.993 1.993
5.980 5.980 5.980

# 23
GdYTmTh, relaxed, DFT PBE; total energy = -7.96 eV/atom; DFT formation energy = 0.147 eV per atom; size of the total moment = 8.261 μB/f.u.
1.0
0.000 4.005 4.005
4.005 0.000 4.005
4.005 4.005 0.000
Gd Y Tm Th
1 1 1 1
Cartesian
0.000 0.000 0.000
2.003 2.003 2.003
4.005 4.005 4.005
6.008 6.008 6.008

# 24
GdTmThZn, relaxed, DFT PBE; total energy = -6.75 eV/atom; DFT formation energy = 0.061 eV per atom; size of the total moment = 8.294 μB/f.u.
1.0
0.000 3.795 3.795
3.795 0.000 3.795
3.795 3.795 0.000
Gd Tm Th Zn
1 1 1 1
Cartesian
0.000 0.000 0.000
1.897 1.897 1.897
3.795 3.795 3.795
5.692 5.692 5.692

# 25
GdTmThZr, relaxed, DFT PBE; total energy = -8.48 eV/atom; DFT formation energy = 0.150 eV per atom; size of the total moment = 7.766 μB/f.u.
1.0
0.000 3.870 3.870
3.870 0.000 3.870
3.870 3.870 0.000
Gd Tm Th Zr
1 1 1 1
Cartesian
0.000 0.000 0.000
5.805 5.805 5.805
3.870 3.870 3.870
1.935 1.935 1.935

# 26
GdThV4, relaxed, DFT PBE; total energy = -9.42 eV/atom; DFT formation energy = 0.238 eV per atom; size of the total moment = 6.943 μB/f.u.
1.0
0.000 3.815 3.815
3.815 0.000 3.815
3.815 3.815 0.000
Gd Th V
1 1 4
Cartesian
0.000 0.000 0.000
1.907 1.907 1.907
4.773 2.856 2.856
2.856 4.773 2.856
2.856 2.856 4.773
4.773 4.773 4.773

# 27
GdThW4, relaxed, DFT PBE; total energy = -12.05 eV/atom; DFT formation energy = 0.170 eV per atom; size of the total moment = 6.998 μB/f.u.
1.0
0.000 3.956 3.956
3.956 0.000 3.956
3.956 3.956 0.000
Gd Th W
1 1 4
Cartesian
0.000 0.000 0.000
1.978 1.978 1.978
4.943 2.969 2.969
2.969 4.943 2.969
2.969 2.969 4.943
4.943 4.943 4.943

# 28
GdY2Th, relaxed, DFT PBE; total energy = -8.57 eV/atom; DFT formation energy = 0.040 eV per atom; size of the total moment = 7.509 μB/f.u.
1.0
5.068 0.000 0.000
0.000 5.068 0.000
0.000 0.000 5.029
Gd Y Th
1 2 1
Cartesian
0.000 0.000 0.000
0.000 2.534 2.515
2.534 0.000 2.515
2.534 2.534 0.000

# 29
GdYTh, relaxed, DFT PBE; total energy = -9.30 eV/atom; DFT formation energy = 0.022 eV per atom; size of the total moment = 7.321 μB/f.u.
1.0
-1.796 1.796 7.531
1.796 -1.796 7.531
1.796 1.796 -7.531
Gd Y Th
1 1 1
Cartesian
0.000 0.000 0.000
0.000 0.000 10.249
0.000 0.000 5.132

# 30
Gd2YTh, relaxed, DFT PBE; total energy = -10.47 eV/atom; DFT formation energy = 0.043 eV per atom; size of the total moment = 14.609 μB/f.u.
1.0
5.043 0.000 0.000
0.000 5.043 0.000
0.000 0.000 5.078
Gd Y Th
2 1 1
Cartesian
0.000 2.522 0.000
2.522 0.000 0.000
0.000 0.000 2.539
2.522 2.522 2.539

# 31
GdY2Th, relaxed, DFT PBE; total energy = -8.48 eV/atom; DFT formation energy = 0.132 eV per atom; size of the total moment = 7.458 μB/f.u.
1.0
0.000 4.028 4.028
4.028 0.000 4.028
4.028 4.028 0.000
Gd Y Th
1 2 1
Cartesian
0.000 0.000 0.000
2.014 2.014 2.014
6.042 6.042 6.042
4.028 4.028 4.028